ZrSb2TePb: relaxed, GGA-PBE.

Lattice parameters (Å, degrees): 5.605 5.605 5.547 90.00 90.00 90.00
Positions (direct):
Sb  0.500  0.000  0.000
Sb  0.000  0.500  0.000
Te  0.000  0.000  0.500
Zr  0.000  0.000  0.000
Pb  0.500  0.500  0.500

As for the total DFT energy (no corrections): -23.3 eV for the cell shown. As for the spin magnetization: 0.000 μB per atom. The volume comes out at 34.85 Å³/atom. For the formation energy from raw total energies, the calculation gives 0.077 eV/atom. The calculation puts the energy above the most stable polymorph in this dataset at 0.00 kcal/mol of atoms.